# 1
VASP calculation (PBE) on an optimized crystal structure of BeMoAu.

Properties
Its size of the total moment is 0.85 μB per formula unit. As for the excess energy over the best structure of this formula in the dataset: 2.695 eV per formula unit. The energy of formation comes out at 992 meV per atom. Its space group is F-43m, No. 216.

Cell: 4.2171 4.2171 4.2171 Å, 60.00 60.00 60.00°
With the nearest neighbours (Å) after each atom.
Atoms (fractional coordinates):
1 Au 0.0000 0.0000 0.0000  4 Mo 2.58
2 Be 0.5000 0.5000 0.5000  4 Mo 2.58
3 Mo 0.7500 0.7500 0.7500  4 Be 2.58, 4 Au 2.58

# 2
VASP calculation (PBE) on an optimized crystal structure of CrAg3Sn.

Properties
Its size of the total moment is 4.98 μB per formula unit. As for the excess energy over the best structure of this formula in the dataset: 0.000 eV per formula unit. The energy of formation comes out at 876 meV per atom. Its space group is Pm-3m, No. 221.

Cell: 5.1725 5.1725 5.1725 Å, 90.00 90.00 90.00°
With the nearest neighbours (Å) after each atom.
Atoms (fractional coordinates):
1 Ag 0.0000 0.0000 0.5000  2 Sn 2.59
2 Ag 0.0000 0.5000 0.0000  2 Sn 2.59
3 Sn 0.0000 0.0000 0.0000  6 Ag 2.59
4 Cr 0.5000 0.5000 0.5000  12 Ag 3.66
5 Ag 0.5000 0.0000 0.0000  2 Sn 2.59

Which of these has the lowest excess energy over the best structure of this formula in the dataset?
CrAg3Sn

Look up the energy of formation of the second one.
876 meV per atom

energy of formation of number 2 (CrAg3Sn)?
876 meV per atom